1.
This record from Alexandria via LeMat-Bulk describes a relaxed YTiCd2 crystal. The functional is PBE-GGA.

Final energy, eV/f.u.: -16.468
Relative energy among the computed polymorphs, meV/atom: 16.4
Space-group type: No. 225
Formation energy from the elements, eV per atom: -0.07

Unit cell a=5.050 b=5.050 c=5.050 alpha=60.00 beta=60.00 gamma=60.00
Last column: magnetic moment on the atom in μB.
Element x y z (fractional)
1 Y 0.500 0.500 0.500  0.10
2 Cd 0.750 0.750 0.750  -0.01
3 Cd 0.250 0.250 0.250  -0.01
4 Ti 0.000 0.000 0.000  1.01

=====

2.
This record from Alexandria via LeMat-Bulk describes a relaxed YTiZnCd crystal. The functional is PBE-GGA.

Final energy, eV/f.u.: -16.910
Space-group type: No. 216
Formation energy from the elements, eV per atom: -0.09

Unit cell a=4.927 b=4.927 c=4.927 alpha=60.00 beta=60.00 gamma=60.00
Last column: magnetic moment on the atom in μB.
Element x y z (fractional)
1 Y 0.750 0.750 0.750  0.13
2 Ti 0.250 0.250 0.250  1.04
3 Cd 0.500 0.500 0.500  0.00
4 Zn 0.000 0.000 0.000  0.00

=====

- Among the records above, which one has the highest final energy?
  YTiCd2

=====

- Which formula does entry 1 have?
  YTiCd2

=====

- Look up the final energy of the first one.
  -16.468 eV/f.u.

=====

- The highest final energy belongs to which entry?
  YTiCd2